Record 1
This record from Alexandria describes InGePt2 after structural relaxation. The functional is PBE-GGA.

Summary:
SG: Pbcm (57)
Total DFT energy (no corrections) (eV/atom): -5.38
Volume (Å³/f.u.): 75.5
Magnetic moment (μB per atom): 0.0000
E_form (eV/atom): -0.5225
DOS(E_F) (states/eV/atom): 0.439

```
InGePt2
1.0
-0.7394 -2.8285 4.6950
-1.3673 -5.9544 -3.8026
14.7638 -3.5206 0.2043
In Ge Pt
8 8 16
direct
0.2501 0.0871 0.6913
0.7501 0.9129 0.8087
0.2499 0.5871 0.3087
0.7499 0.4129 0.1913
0.7499 0.9129 0.3087
0.2499 0.0871 0.1913
0.7501 0.4129 0.6913
0.2501 0.5871 0.8087
0.2506 0.0510 0.9378
0.2506 0.5510 0.5622
0.7506 0.4490 0.9378
0.2494 0.0510 0.4378
0.7494 0.9490 0.0622
0.7494 0.4490 0.4378
0.2494 0.5510 0.0622
0.7506 0.9490 0.5622
0.0003 0.2499 0.8329
0.4997 0.7499 0.1671
0.5003 0.7501 0.6671
0.0000 0.2504 0.5473
0.0003 0.7499 0.6671
0.5003 0.2501 0.8329
0.4997 0.2499 0.3329
0.9997 0.7501 0.1671
0.0000 0.7496 0.4527
0.0000 0.7504 0.9527
0.5000 0.2496 0.5473
0.5000 0.2504 0.0473
0.5000 0.7496 0.9527
0.0000 0.2496 0.0473
0.5000 0.7504 0.4527
0.9997 0.2501 0.3329
```



Record 2
This record from Alexandria describes As4Pb5 after structural relaxation. The functional is PBE-GGA.

Summary:
SG: I4/mmm (139)
Total DFT energy (no corrections) (eV/atom): -3.88
Energy relative to the lowest polymorph listed for this composition (eV/f.u.): 1.45
Volume (Å³/f.u.): 243.6
Magnetic moment (μB per atom): 0.0000
E_form (eV/atom): 0.2419
DOS(E_F) (states/eV/atom): 0.601

```
As4Pb5
1.0
2.7986 -4.4785 -5.7031
1.5519 4.9792 5.7631
-1.5847 -5.9539 4.7386
As Pb
4 5
direct
0.3755 0.0000 0.3755
0.6245 0.0000 0.6245
0.0000 0.6245 0.6245
0.0000 0.3755 0.3755
0.0000 0.0000 0.0000
0.3335 0.6665 0.0000
0.6665 0.3335 0.0000
0.6665 0.6665 0.3330
0.3335 0.3335 0.6670
```



Record 3
This record from Alexandria describes ZrSI2 after structural relaxation. The functional is PBE-GGA.

Summary:
SG: Cm (8)
Total DFT energy (no corrections) (eV/atom): -4.92
Energy relative to the lowest polymorph listed for this composition (eV/f.u.): 0.00
Formation energy without anion corrections (eV per atom): -0.97
Volume (Å³/f.u.): 137.4
Magnetic moment (μB per atom): 0.0000
DOS(E_F) (states/eV/atom): 0.212

```
ZrSI2
1.0
-0.7803 1.6098 3.2660
-3.9825 -1.1251 -2.5199
2.3079 -7.2295 4.1149
Zr S I
1 1 2
direct
0.7377 0.4754 0.3750
0.4360 0.8720 0.3751
0.0852 0.1703 0.1010
0.2411 0.4823 0.6489
```



Record 4
This record from Alexandria describes Sc2MnZn6 after structural relaxation. The functional is PBE-GGA.

Summary:
SG: P-3m1 (164)
Total DFT energy (no corrections) (eV/atom): -3.47
Volume (Å³/f.u.): 148.7
Magnetic moment (μB per atom): 0.1896
E_form (eV/atom): -0.1907
DOS(E_F) (states/eV/atom): 0.787

```
Sc2MnZn6
1.0
-5.5521 1.6806 -0.7321
1.1238 1.4971 -5.0861
-1.6657 -5.0530 1.0322
Sc Mn Zn
2 1 6
direct
0.3775 0.6667 0.3333
0.6225 0.3333 0.6667
0.5000 0.0000 0.0000
0.8273 0.8256 0.6513
0.8273 0.8256 0.1744
0.1727 0.6513 0.8256
0.8273 0.3487 0.1744
0.1727 0.1744 0.8256
0.1727 0.1744 0.3487
```



Record 5
This record from Alexandria describes AcPmHoEr2 after structural relaxation. The functional is PBE-GGA.

Summary:
SG: Cmcm (63)
Total DFT energy (no corrections) (eV/atom): -4.12
Volume (Å³/f.u.): 182.3
Magnetic moment (μB per atom): 0.0000
E_form (eV/atom): 0.3892
DOS(E_F) (states/eV/atom): 1.713

```
AcPmHoEr2
1.0
-3.9213 -0.0373 -5.1162
4.9922 -1.4169 -3.8159
-3.9987 -7.8558 3.1221
Ac Pm Ho Er
2 2 2 4
direct
0.2500 0.6590 0.3180
0.7500 0.3410 0.6820
0.2500 0.8479 0.6957
0.7500 0.1521 0.3043
0.7500 0.7473 0.4946
0.2500 0.2527 0.5054
0.5000 0.2486 0.0000
0.0000 0.7514 0.0000
0.5000 0.7514 0.0000
0.0000 0.2486 0.0000
```



Record 6
This record from Alexandria describes GaSbS3 after structural relaxation. The functional is PBE-GGA.

Summary:
SG: P2_1/m (11)
Total DFT energy (no corrections) (eV/atom): -4.28
Energy relative to the lowest polymorph listed for this composition (eV/f.u.): 0.10
Formation energy without anion corrections (eV per atom): -0.38
Volume (Å³/f.u.): 146.2
Magnetic moment (μB per atom): 0.0000

```
GaSbS3
1.0
-1.5559 -1.0265 3.0958
6.3625 -4.5240 1.6976
5.4178 7.0404 5.0574
Ga Sb S
2 2 6
direct
0.2500 0.0357 0.1184
0.7500 0.9643 0.8816
0.2500 0.2738 0.5648
0.7500 0.7262 0.4352
0.7500 0.0148 0.6630
0.7500 0.4467 0.6635
0.2500 0.9852 0.3370
0.2500 0.5533 0.3365
0.2500 0.8132 0.9842
0.7500 0.1868 0.0158
```



Record 7
This record from Alexandria describes RbHg7Au2 after structural relaxation. The functional is PBE-GGA.

Summary:
SG: Cmmm (65)
Total DFT energy (no corrections) (eV/atom): -1.02
Volume (Å³/f.u.): 339.2
Magnetic moment (μB per atom): 0.0000
E_form (eV/atom): -0.0597
DOS(E_F) (states/eV/atom): 0.273

```
RbHg7Au2
1.0
5.5129 0.0000 0.0000
0.0000 7.9553 0.7445
0.0000 -2.8414 7.4678
Rb Hg Au
1 7 2
direct
0.0000 0.0000 0.0000
0.0000 0.7061 0.2939
0.0000 0.2939 0.7061
0.5000 0.0873 0.3309
0.5000 0.9127 0.6691
0.5000 0.3309 0.0873
0.5000 0.6691 0.9127
0.5000 0.5000 0.5000
0.5000 0.7189 0.2811
0.5000 0.2811 0.7189
```



Record 8
This record from Alexandria describes K2HRu after structural relaxation. The functional is PBE-GGA.

Summary:
SG: I-42d (122)
Total DFT energy (no corrections) (eV/atom): -3.09
Energy relative to the lowest polymorph listed for this composition (eV/f.u.): 0.00
Volume (Å³/f.u.): 115.4
Magnetic moment (μB per atom): 0.2901
DOS(E_F) (states/eV/atom): 1.602

```
K2HRu
1.0
-9.3002 4.0271 5.4339
1.8951 -7.3171 8.6664
-2.7170 -0.4451 7.8477
Ru K H
2 4 2
direct
0.0000 0.0000 0.0000
0.7500 0.2500 0.5000
0.4256 0.1250 0.2500
0.3244 0.6250 0.2500
0.3750 0.5744 0.7500
0.8750 0.6756 0.7500
0.5000 0.5000 0.0000
0.2500 0.7500 0.5000
```



Record 9
This record from Alexandria describes YTl3Ir after structural relaxation. The functional is PBE-GGA.

Summary:
SG: Pm-3m (221)
Total DFT energy (no corrections) (eV/atom): -4.20
Volume (Å³/f.u.): 144.8
Magnetic moment (μB per atom): 0.0000
E_form (eV/atom): 0.2861
DOS(E_F) (states/eV/atom): 1.074

```
YTl3Ir
1.0
-2.7222 2.9351 3.3982
2.7441 -2.0581 3.9758
3.5542 3.8369 -0.4669
Y Tl Ir
1 3 1
direct
0.5000 0.5000 0.5000
0.0000 0.5000 0.0000
0.0000 0.0000 0.5000
0.5000 0.0000 0.0000
0.0000 0.0000 0.0000
```



Record 10
This record from Alexandria describes TlRe5 after structural relaxation. The functional is PBE-GGA.

Summary:
SG: Cmmm (65)
Total DFT energy (no corrections) (eV/atom): -10.20
Energy relative to the lowest polymorph listed for this composition (eV/f.u.): 0.93
Volume (Å³/f.u.): 97.0
Magnetic moment (μB per atom): 0.0000
E_form (eV/atom): 0.5645
DOS(E_F) (states/eV/atom): 0.983

```
TlRe5
1.0
2.0136 -5.9047 0.0000
2.0136 5.9047 0.0000
0.0000 0.0000 4.0794
Tl Re
1 5
direct
0.5000 0.5000 0.0000
0.3275 0.6725 0.5000
0.1809 0.8191 0.0000
0.0000 0.0000 0.5000
0.8191 0.1809 0.0000
0.6725 0.3275 0.5000
```



Record 11
This record from Alexandria describes Cu3TeO6 after structural relaxation. The functional is PBE-GGA.

Summary:
SG: Ia-3 (206)
Total DFT energy (no corrections) (eV/atom): -5.19
Energy relative to the lowest polymorph listed for this composition (eV/f.u.): 0.00
Formation energy without anion corrections (eV per atom): -0.68
Volume (Å³/f.u.): 113.3
Magnetic moment (μB per atom): 0.1558
DOS(E_F) (states/eV/atom): 0.591

```
Cu3TeO6
1.0
-3.4613 -4.0984 -6.4392
0.7524 -5.1917 6.5361
-4.8681 6.4821 2.1271
Cu Te O
12 4 24
direct
0.7204 0.4704 0.2500
0.7500 0.7796 0.0296
0.0296 0.7500 0.7796
0.2500 0.7204 0.4704
0.4704 0.2500 0.7204
0.7796 0.0296 0.7500
0.2796 0.5296 0.7500
0.2500 0.2204 0.9704
0.9704 0.2500 0.2204
0.7500 0.2796 0.5296
0.5296 0.7500 0.2796
0.2204 0.9704 0.2500
0.5000 0.0000 0.0000
0.0000 0.0000 0.5000
0.0000 0.5000 0.0000
0.5000 0.5000 0.5000
0.5326 0.8049 0.0722
0.2673 0.6951 0.2277
0.9674 0.0396 0.2723
0.4604 0.4278 0.2327
0.4278 0.2327 0.4604
0.0722 0.5326 0.8049
0.6951 0.2277 0.2673
0.2723 0.9674 0.0396
0.8049 0.0722 0.5326
0.2277 0.2673 0.6951
0.0396 0.2723 0.9674
0.2327 0.4604 0.4278
0.4674 0.1951 0.9278
0.7327 0.3049 0.7723
0.0326 0.9604 0.7277
0.5396 0.5722 0.7673
0.7673 0.5396 0.5722
0.9604 0.7277 0.0326
0.7723 0.7327 0.3049
0.1951 0.9278 0.4674
0.7277 0.0326 0.9604
0.3049 0.7723 0.7327
0.9278 0.4674 0.1951
0.5722 0.7673 0.5396
```



Record 12
This record from Alexandria describes SmErGaCo after structural relaxation. The functional is PBE-GGA.

Summary:
SG: Amm2 (38)
Total DFT energy (no corrections) (eV/atom): -5.21
Energy relative to the lowest polymorph listed for this composition (eV/f.u.): 0.00
Volume (Å³/f.u.): 88.5
Magnetic moment (μB per atom): 0.0001
E_form (eV/atom): -0.3572
DOS(E_F) (states/eV/atom): 0.991

```
SmErGaCo
1.0
4.0477 0.0000 0.0000
0.0000 4.1893 0.0000
-2.0239 0.0000 5.2179
Sm Er Ga Co
1 1 1 1
direct
0.1455 0.0000 0.2910
0.8607 0.5000 0.7215
0.5619 0.5000 0.1237
0.4319 0.0000 0.8638
```